Record 1
Here is an optimized crystal structure of BaLiRu2 from Alexandria. Energies are from GGA-PBE.

Cell lengths 7.4212, 4.2804, 6.3691 Å; angles 90.00, 112.72, 90.00 degrees
With the nearest neighbours (Å) after each atom.
Space group C2/m (No. 12)
Symmetry-distinct sites (fractional):
Ba 0.0000 0.0000 0.0000 (multiplicity 2)  8 Ru 3.23-3.62
Li 0.0000 0.5000 0.5000 (multiplicity 2)  6 Ru 2.49
Ru 0.1834 0.0000 0.5506 (multiplicity 4)  3 Li 2.49, 3 Ru 2.54



Record 2
Here is an optimized crystal structure of BaLiRu from Alexandria. Energies are from GGA-PBE.

Cell lengths 6.8653, 6.8653, 6.8653 Å; angles 90.00, 90.00, 90.00 degrees
With the nearest neighbours (Å) after each atom.
Space group F-43m (No. 216)
Symmetry-distinct sites (fractional):
Ba 0.0000 0.0000 0.0000 (multiplicity 4)  4 Li 2.97, 4 Ru 2.97
Li 0.2500 0.2500 0.7500 (multiplicity 4)  4 Ba 2.97
Ru 0.2500 0.2500 0.2500 (multiplicity 4)  4 Ba 2.97



Record 3
Here is an optimized crystal structure of BaLiRu2 from Alexandria. Energies are from GGA-PBE.

Cell lengths 4.1865, 4.5953, 4.8806 Å; angles 90.00, 104.38, 90.00 degrees
With the nearest neighbours (Å) after each atom.
Space group P2/m (No. 10)
Symmetry-distinct sites (fractional):
Ba 0.0000 0.0000 0.0000 (multiplicity 1)  2 Li 2.79
Li 0.5000 0.0000 0.5000 (multiplicity 1)  4 Ru 2.58, 2 Ba 2.79
Ru 0.2857 0.5000 0.6165 (multiplicity 2)  2 Ru 2.35-2.38, 2 Li 2.58



Number 1: DFT formation energy 0.328 eV/atom. Number 2: DFT formation energy 1.153 eV/atom. Number 3: DFT formation energy 0.562 eV/atom.